# 1
DFT (GGA-PBE) results for a relaxed Cd2OsRh crystal.

Cell: 2.8613 2.8613 8.4571 Å, 90.00 90.00 90.00°
Last column: nearest neighbours and their distance in Å.
Element x y z (fractional)
1 Cd 0.5000 0.5000 0.2744  4 Cd 2.86, 4 Os 2.95
2 Cd 0.0000 0.0000 0.9736  4 Cd 2.86, 4 Rh 2.92
3 Os 0.0000 0.0000 0.5281  4 Rh 2.61, 4 Os 2.86
4 Rh 0.5000 0.5000 0.7240  4 Os 2.61, 4 Rh 2.86, 4 Cd 2.92

Properties
* relative energy among the computed polymorphs: 0 kJ/mol of formula units
* calculated total energy: -4.9490 eV per atom

# 2
DFT (GGA-PBE) results for a relaxed Cd2OsRh crystal.

Cell: 9.4636 9.4636 9.4636 Å, 17.51 17.51 17.51°
Last column: nearest neighbours and their distance in Å.
Element x y z (fractional)
1 Os 0.5000 0.5000 0.5000  6 Os 2.88, 6 Cd 2.90
2 Cd 0.7485 0.7485 0.7485  3 Rh 2.83, 6 Cd 2.88, 3 Os 2.90
3 Cd 0.2515 0.2515 0.2515  3 Rh 2.83, 6 Cd 2.88, 3 Os 2.90
4 Rh 0.0000 0.0000 0.0000  6 Cd 2.83, 6 Rh 2.88

Properties
* relative energy among the computed polymorphs: 77 kJ/mol of formula units
* calculated total energy: -4.7492 eV per atom

# 3
DFT (GGA-PBE) results for a relaxed CdOsRh2 crystal.

Cell: 9.2235 9.2235 9.2235 Å, 17.47 17.47 17.47°
Last column: nearest neighbours and their distance in Å.
Element x y z (fractional)
1 Os 0.0000 0.0000 0.0000  6 Rh 2.67, 6 Os 2.80
2 Rh 0.2555 0.2555 0.2555  3 Os 2.67, 6 Rh 2.80, 3 Cd 2.91
3 Rh 0.7445 0.7445 0.7445  3 Os 2.67, 6 Rh 2.80, 3 Cd 2.91
4 Cd 0.5000 0.5000 0.5000  6 Cd 2.80, 6 Rh 2.91

Properties
* calculated total energy: -6.6268 eV per atom

# 4
DFT (GGA-PBE) results for a relaxed CdOsRh2 crystal.

Cell: 2.7832 2.7832 8.0152 Å, 90.00 90.00 90.00°
Last column: nearest neighbours and their distance in Å.
Element x y z (fractional)
1 Rh 0.5000 0.5000 0.2343  8 Rh 2.75-2.78, 4 Cd 2.88
2 Rh 0.0000 0.0000 0.9940  4 Os 2.64, 8 Rh 2.75-2.78
3 Os 0.5000 0.5000 0.7744  4 Rh 2.64, 4 Os 2.78
4 Cd 0.0000 0.0000 0.4973  4 Cd 2.78, 4 Rh 2.88, 4 Os 2.97

Properties
* calculated total energy: -6.4954 eV per atom

no.,N(E_F) (states/eV per atom),DFT formation energy (kJ/mol of formula units)
1,0.430,59
2,0.959,136
3,1.386,33
4,1.384,84